No. 1
# Tl12Te5P3, relaxed, DFT PBE
# M_tot	0.0	μB per cell
# formation energy without anion corrections	0.0985	eV/atom
# E_tot	-466.909	eV for the cell shown
data_Tl12Te5P3
_chemical_formula_sum 'Tl96 Te40 P24'
_cell_length_a 18.109
_cell_length_b 18.109
_cell_length_c 18.109
_cell_angle_alpha 90.00
_cell_angle_beta 90.00
_cell_angle_gamma 90.00
_symmetry_space_group_name_H-M 'I a -3 d'
_symmetry_Int_Tables_number 230
_symmetry_space_group_name_Hall '-I 4bd 2c 3'
loop_
_atom_site_label
_atom_site_fract_x
_atom_site_fract_y
_atom_site_fract_z
Tl1 0.013 0.082 0.654
Te1 0.000 0.000 0.000
Te2 0.000 0.250 0.375
P1 0.000 0.250 0.125

=====

No. 2
# ScPaOs2, relaxed, DFT PBE
# M_tot	0.0	μB per cell
# E_tot	-39.899	eV for the cell shown
data_ScPaOs2
_chemical_formula_sum 'Sc1 Pa1 Os2'
_cell_length_a 4.678
_cell_length_b 4.678
_cell_length_c 3.423
_cell_angle_alpha 90.00
_cell_angle_beta 90.00
_cell_angle_gamma 90.00
_symmetry_space_group_name_H-M 'P 4/m m m'
_symmetry_Int_Tables_number 123
_symmetry_space_group_name_Hall '-P 4 2'
loop_
_atom_site_label
_atom_site_fract_x
_atom_site_fract_y
_atom_site_fract_z
Sc1 0.000 0.000 0.000
Pa1 0.500 0.500 0.000
Os1 0.000 0.500 0.500

=====

Which formula does entry 1 have? Tl12Te5P3